(1)
First-principles (PBE) data for a geometry-optimized InSi2Hg structure, as listed in Alexandria.

The space group is C2/m (No. 12) and the conventional cell measures 10.375, 3.655 and 6.641 Å, with angles of 90.00, 121.36 and 90.00 degrees. Symmetry generates all atoms from In at (0.000, 0.000, 0.000), Si at (0.247, 0.500, 0.112) and Hg at (0.000, 0.000, 0.500).

The value obtained for the total energy is -12.62 eV per formula unit. As for the energy relative to the elements, uncorrected: 1.3 eV/f.u. The calculation puts the energy above the most stable polymorph in this dataset at 0.1128 eV per atom. As for the calculated volume: 26.88 Å³/atom.


(2)
First-principles (PBE) data for a geometry-optimized InSi2Hg structure, as listed in Alexandria.

The space group is Pm (No. 6) and the conventional cell measures 2.836, 3.814 and 8.316 Å, with angles of 90.00, 94.95 and 90.00 degrees. Symmetry generates all atoms from In at (0.000, 0.000, 0.000), Si at (0.004, 0.500, 0.741), Si at (0.961, 0.000, 0.566) and Hg at (0.922, 0.500, 0.302).

The value obtained for the total energy is -12.62 eV per formula unit. As for the energy relative to the elements, uncorrected: 1.3 eV/f.u. The calculation puts the energy above the most stable polymorph in this dataset at 0.1139 eV per atom. As for the calculated volume: 22.41 Å³/atom.


(3)
First-principles (PBE) data for a geometry-optimized InSi2Hg structure, as listed in Alexandria.

The space group is Pmmm (No. 47) and the conventional cell measures 3.151, 5.068 and 5.171 Å, with angles of 90.00, 90.00 and 90.00 degrees. Symmetry generates all atoms from In at (0.000, 0.000, 0.000), Si at (0.000, 0.500, 0.500), Si at (0.500, 0.000, 0.500) and Hg at (0.500, 0.500, 0.000).

The value obtained for the total energy is -11.70 eV per formula unit. As for the energy relative to the elements, uncorrected: 2.2 eV/f.u. The calculation puts the energy above the most stable polymorph in this dataset at 0.3423 eV per atom. As for the calculated volume: 20.64 Å³/atom.


(4)
First-principles (PBE) data for a geometry-optimized InSiHg3 structure, as listed in Alexandria.

The space group is Pm-3m (No. 221) and the conventional cell measures 5.568, 5.568 and 5.568 Å, with angles of 90.00, 90.00 and 90.00 degrees. Symmetry generates all atoms from In at (0.000, 0.000, 0.000), Si at (0.500, 0.500, 0.500) and Hg at (0.000, 0.000, 0.500).

The value obtained for the total energy is -5.22 eV per formula unit. As for the energy relative to the elements, uncorrected: 3.8 eV/f.u. The calculation puts the energy above the most stable polymorph in this dataset at 0.5147 eV per atom. As for the calculated volume: 34.52 Å³/atom.


(5)
First-principles (PBE) data for a geometry-optimized InSiHg3 structure, as listed in Alexandria.

The space group is Pm-3m (No. 221) and the conventional cell measures 5.226, 5.226 and 5.226 Å, with angles of 90.00, 90.00 and 90.00 degrees. Symmetry generates all atoms from In at (0.000, 0.000, 0.000), Si at (0.500, 0.500, 0.500) and Hg at (0.000, 0.500, 0.500).

The value obtained for the total energy is -7.79 eV per formula unit. As for the energy relative to the elements, uncorrected: 1.3 eV/f.u. The calculation puts the energy above the most stable polymorph in this dataset at 0.0000 eV per atom. As for the calculated volume: 28.55 Å³/atom.


(6)
First-principles (PBE) data for a geometry-optimized In3SiHg structure, as listed in Alexandria.

The space group is Pm-3m (No. 221) and the conventional cell measures 5.474, 5.474 and 5.474 Å, with angles of 90.00, 90.00 and 90.00 degrees. Symmetry generates all atoms from In at (0.000, 0.000, 0.500), Si at (0.500, 0.500, 0.500) and Hg at (0.000, 0.000, 0.000).

The value obtained for the total energy is -10.09 eV per formula unit. As for the energy relative to the elements, uncorrected: 3.9 eV/f.u. The calculation puts the energy above the most stable polymorph in this dataset at 0.4266 eV per atom. As for the calculated volume: 32.81 Å³/atom.